Nd2Sc13 | PBE | relaxed

Total energy (eV/atom): -6.06
Magnetization (μB per formula unit): 0.01
ΔH_f (0 K) (eV per atom): 0.065
Volume (Å³ per atom): 25.65

```
data_Nd2Sc13
_chemical_formula_sum 'Nd2 Sc13'
_space_group_name_H-M_alt 'P -1'
_space_group_IT_number 2
_space_group_name_Hall '-P 1'
_cell_length_a 6.113
_cell_length_b 8.326
_cell_length_c 8.380
_cell_angle_alpha 66.51
_cell_angle_beta 80.84
_cell_angle_gamma 81.84
loop_
_atom_site_label
_atom_site_type_symbol
_atom_site_fract_x
_atom_site_fract_y
_atom_site_fract_z
_atom_site_occupancy
Nd1 Nd 0.087 0.308 0.425 1
Sc1 Sc 0.000 0.500 0.000 1
Sc2 Sc 0.108 0.945 0.747 1
Sc3 Sc 0.184 0.727 0.172 1
Sc4 Sc 0.290 0.120 0.985 1
Sc5 Sc 0.358 0.443 0.670 1
Sc6 Sc 0.397 0.902 0.394 1
Sc7 Sc 0.487 0.674 0.848 1
```